{
  "formula": "Tl3Mo2O8",
  "functional": "GGA+U",
  "state": "optimized geometry",
  "spacegroup": "No. 186",
  "total_energy_ev_per_fu": -76.76,
  "mass_density_g_cm3": 5.81,
  "dos_ef_per_ev_atom": 0.32,
  "m_tot_mub_per_cell": 0.0,
  "cell": [[3.0737, -5.3238, 0.0000], [3.0737, 5.3238, 0.0000], [0.0000, 0.0000, 16.2976]],
  "species": ["O", "O", "O", "O", "O", "O", "O", "O", "O", "O", "O", "O", "O", "O", "O", "O", "Tl", "Tl", "Tl", "Tl", "Tl", "Tl", "Mo", "Mo", "Mo", "Mo"],
  "frac_coords": [[0.0126, 0.5063, 0.4510], [0.6667, 0.3333, 0.2714], [0.5063, 0.4937, 0.9510], [0.8299, 0.6599, 0.1303], [0.6667, 0.3333, 0.8060], [0.4937, 0.5063, 0.4510], [0.6599, 0.8299, 0.6303], [0.3333, 0.6667, 0.7714], [0.1701, 0.3401, 0.6303], [0.9874, 0.4937, 0.9510], [0.8299, 0.1701, 0.1303], [0.1701, 0.8299, 0.6303], [0.3401, 0.1701, 0.1303], [0.3333, 0.6667, 0.3060], [0.4937, 0.9874, 0.4510], [0.5063, 0.0126, 0.9510], [0.0000, 0.0000, 0.5189], [0.6667, 0.3333, 0.5442], [0.0000, 0.0000, 0.7539], [0.3333, 0.6667, 0.0442], [0.0000, 0.0000, 0.2539], [0.0000, 0.0000, 0.0189], [0.6667, 0.3333, 0.1648], [0.3333, 0.6667, 0.4137], [0.3333, 0.6667, 0.6648], [0.6667, 0.3333, 0.9137]]
}